1.
First-principles (PBE) data for a relaxed structure of Zr2AgI, as listed in Alexandria via LeMat-Bulk.

Values from the calculation:
Size of the total moment in μB/cell: 0.0

abc: 7.048 7.048 7.048
angles: 90.00 90.00 90.00
Space group Fm-3m (No. 225)
Inequivalent atoms, fractional coordinates:
1 Zr 0.250 0.250 0.250 (multiplicity 8)
2 Ag 0.000 0.000 0.000 (multiplicity 4)
3 I 0.000 0.000 0.500 (multiplicity 4)

---

2.
First-principles (PBE) data for a relaxed structure of Zr2AgI, as listed in Alexandria via LeMat-Bulk.

Values from the calculation:
Size of the total moment in μB/cell: 0.0

abc: 6.031 6.031 14.013
angles: 90.00 90.00 90.00
Space group I-42d (No. 122)
Inequivalent atoms, fractional coordinates:
1 Zr 0.210 0.250 0.125 (multiplicity 8)
2 Ag 0.000 0.000 0.000 (multiplicity 4)
3 I 0.000 0.000 0.500 (multiplicity 4)

---

1 has the most favorable energy; the next structure is 60.5 kJ/mol of atoms above.